No. 1
Sm2Be3AlIr4 PBE optimized geometry; crystal system = tetragonal; energy of formation from the pure elements = -6.8 eV/f.u.; symmetry = P-4m2 (115)
1.0
4.081 0.000 0.000
0.000 4.081 0.000
0.000 0.000 9.697
Sm Be Al Ir
2 3 1 4
Direct
0.000 0.500 0.234
0.500 0.000 0.766
0.000 0.500 0.889
0.500 0.000 0.111
0.500 0.500 0.500
0.000 0.000 0.500
0.000 0.000 0.000
0.000 0.500 0.640
0.500 0.000 0.360
0.500 0.500 0.000

***

No. 2
TaBeAl2Ir PBE optimized geometry; crystal system = tetragonal; energy of formation from the pure elements = 1.3 eV/f.u.; symmetry = P4/mmm (123)
1.0
4.296 0.000 0.000
0.000 4.296 0.000
0.000 0.000 4.043
Ta Be Al Ir
1 1 2 1
Direct
0.000 0.000 0.000
0.500 0.500 0.500
0.000 0.500 0.500
0.500 0.000 0.500
0.500 0.500 0.000

***

No. 3
Tb2Be4AlIr3 PBE optimized geometry; crystal system = tetragonal; energy of formation from the pure elements = -5.9 eV/f.u.; symmetry = P-4m2 (115)
1.0
3.846 0.000 0.000
0.000 3.846 0.000
0.000 0.000 10.211
Tb Be Al Ir
2 4 1 3
Direct
0.000 0.500 0.240
0.500 0.000 0.760
0.000 0.000 0.000
0.000 0.500 0.641
0.500 0.000 0.359
0.500 0.500 0.000
0.000 0.000 0.500
0.000 0.500 0.874
0.500 0.000 0.126
0.500 0.500 0.500

***

energy of formation from the pure elements of number 2 (TaBeAl2Ir)?
1.3 eV/f.u.

***

Copy entry 1 word for word.
Sm2Be3AlIr4 PBE optimized geometry; crystal system = tetragonal; energy of formation from the pure elements = -6.8 eV/f.u.; symmetry = P-4m2 (115)
1.0
4.081 0.000 0.000
0.000 4.081 0.000
0.000 0.000 9.697
Sm Be Al Ir
2 3 1 4
Direct
0.000 0.500 0.234
0.500 0.000 0.766
0.000 0.500 0.889
0.500 0.000 0.111
0.500 0.500 0.500
0.000 0.000 0.500
0.000 0.000 0.000
0.000 0.500 0.640
0.500 0.000 0.360
0.500 0.500 0.000